1.
# Cs2AuI | Alexandria | GGA-PBEsol | optimized geometry
data_Cs2AuI
_chemical_formula_sum 'Cs4 Au2 I2'
_symmetry_space_group_name_H-M 'P 1'
_symmetry_Int_Tables_number 1
_cell_length_a 10.008
_cell_length_b 10.008
_cell_length_c 10.008
_cell_angle_alpha 130.94
_cell_angle_beta 130.94
_cell_angle_gamma 71.91
loop_
_symmetry_equiv_pos_as_xyz
'x,y,z'
loop_
_atom_site_label
_atom_site_type_symbol
_atom_site_fract_x
_atom_site_fract_y
_atom_site_fract_z
Cs1 Cs 0.100 0.625 0.975
Cs2 Cs 0.375 0.350 0.475
Cs3 Cs 0.650 0.125 0.025
Cs4 Cs 0.875 0.900 0.525
Au1 Au 0.000 0.000 0.000
Au2 Au 0.750 0.250 0.500
I1 I 0.250 0.750 0.500
I2 I 0.500 0.500 0.000
# energy relative to the elements, uncorrected	-2.8	eV per formula unit
# final energy	-2.60	eV per atom
# calculated volume	559.5	Å³/cell
# distance to the lowest polymorph of the same formula	126	meV/atom

2.
# NaCa2Si3O9 | Alexandria | GGA-PBEsol | optimized geometry
data_NaCa2Si3O9
_chemical_formula_sum 'Na2 Ca4 Si6 O18'
_symmetry_space_group_name_H-M 'P 1'
_symmetry_Int_Tables_number 1
_cell_length_a 6.906
_cell_length_b 7.060
_cell_length_c 8.007
_cell_angle_alpha 95.80
_cell_angle_beta 102.27
_cell_angle_gamma 90.47
loop_
_symmetry_equiv_pos_as_xyz
'x,y,z'
loop_
_atom_site_label
_atom_site_type_symbol
_atom_site_fract_x
_atom_site_fract_y
_atom_site_fract_z
Na1 Na 0.239 0.155 0.443
Na2 Na 0.761 0.845 0.557
Ca1 Ca 0.088 0.651 0.856
Ca2 Ca 0.411 0.360 0.148
Ca3 Ca 0.589 0.640 0.852
Ca4 Ca 0.912 0.349 0.144
Si1 Si 0.090 0.162 0.779
Si2 Si 0.237 0.644 0.456
Si3 Si 0.450 0.844 0.218
Si4 Si 0.550 0.156 0.782
Si5 Si 0.763 0.356 0.544
Si6 Si 0.910 0.838 0.221
O1 O 0.007 0.043 0.196
O2 O 0.032 0.771 0.406
O3 O 0.109 0.331 0.933
O4 O 0.207 0.445 0.333
O5 O 0.290 0.628 0.659
O6 O 0.309 0.107 0.738
O7 O 0.344 0.047 0.185
O8 O 0.392 0.676 0.061
O9 O 0.412 0.777 0.401
O10 O 0.588 0.223 0.599
O11 O 0.608 0.324 0.939
O12 O 0.656 0.953 0.815
O13 O 0.691 0.893 0.262
O14 O 0.710 0.372 0.341
O15 O 0.793 0.555 0.667
O16 O 0.891 0.669 0.067
O17 O 0.968 0.229 0.594
O18 O 0.993 0.957 0.804
# energy relative to the elements, uncorrected	-40.8	eV per formula unit
# final energy	-7.40	eV per atom
# calculated volume	379.4	Å³/cell

3.
# NaCuPO4 | Alexandria | GGA-PBEsol | optimized geometry
data_NaCuPO4
_chemical_formula_sum 'Na4 Cu4 P4 O16'
_symmetry_space_group_name_H-M 'P 1'
_symmetry_Int_Tables_number 1
_cell_length_a 5.029
_cell_length_b 8.872
_cell_length_c 7.956
_cell_angle_alpha 90.00
_cell_angle_beta 120.01
_cell_angle_gamma 90.00
loop_
_symmetry_equiv_pos_as_xyz
'x,y,z'
loop_
_atom_site_label
_atom_site_type_symbol
_atom_site_fract_x
_atom_site_fract_y
_atom_site_fract_z
Na1 Na 0.151 0.143 0.194
Na2 Na 0.151 0.357 0.694
Na3 Na 0.849 0.643 0.306
Na4 Na 0.849 0.857 0.806
Cu1 Cu 0.000 0.000 0.500
Cu2 Cu 0.000 0.500 0.000
Cu3 Cu 0.500 0.000 0.000
Cu4 Cu 0.500 0.500 0.500
P1 P 0.351 0.676 0.804
P2 P 0.351 0.824 0.304
P3 P 0.649 0.176 0.696
P4 P 0.649 0.324 0.196
O1 O 0.078 0.626 0.828
O2 O 0.078 0.874 0.328
O3 O 0.291 0.604 0.610
O4 O 0.291 0.896 0.110
O5 O 0.328 0.136 0.527
O6 O 0.328 0.364 0.027
O7 O 0.343 0.648 0.283
O8 O 0.343 0.852 0.783
O9 O 0.657 0.148 0.217
O10 O 0.657 0.352 0.717
O11 O 0.672 0.636 0.973
O12 O 0.672 0.864 0.473
O13 O 0.709 0.104 0.890
O14 O 0.709 0.396 0.390
O15 O 0.922 0.126 0.672
O16 O 0.922 0.374 0.172
# energy relative to the elements, uncorrected	-12.3	eV per formula unit
# final energy	-6.40	eV per atom
# calculated volume	307.4	Å³/cell
# distance to the lowest polymorph of the same formula	3	meV/atom

4.
# YAsN3 | Alexandria | GGA-PBEsol | optimized geometry
data_YAsN3
_chemical_formula_sum 'Y1 As1 N3'
_symmetry_space_group_name_H-M 'P 1'
_symmetry_Int_Tables_number 1
_cell_length_a 3.785
_cell_length_b 3.785
_cell_length_c 3.785
_cell_angle_alpha 90.00
_cell_angle_beta 90.00
_cell_angle_gamma 90.00
loop_
_symmetry_equiv_pos_as_xyz
'x,y,z'
loop_
_atom_site_label
_atom_site_type_symbol
_atom_site_fract_x
_atom_site_fract_y
_atom_site_fract_z
Y1 Y 0.000 0.000 0.000
As1 As 0.500 0.500 0.500
N1 N 0.000 0.500 0.500
N2 N 0.500 0.000 0.500
N3 N 0.500 0.500 0.000
# energy relative to the elements, uncorrected	-0.4	eV per formula unit
# final energy	-7.59	eV per atom
# calculated volume	54.2	Å³/cell